(1)
The following is a PBE calculation of crystalline CoBP2I at its relaxed geometry, from Alexandria via LeMat-Bulk.

Cell: 3.839 3.839 7.673 Å, 90.00 90.00 90.00°
Space group P4/mmm (No. 123)
Asymmetric unit:
Co1 0.000 0.000 0.000
B1 0.500 0.500 0.500
P1 0.000 0.500 0.500
I1 0.500 0.500 0.000

formation energy without anion corrections: 1.045 eV/atom

=====

(2)
The following is a PBE calculation of crystalline Rb2CoBI6 at its relaxed geometry, from Alexandria via LeMat-Bulk.

Cell: 7.801 7.801 11.065 Å, 90.00 90.00 90.00°
Space group I4/mmm (No. 139)
Asymmetric unit:
Rb1 0.000 0.500 0.250
Co1 0.000 0.000 0.000
B1 0.000 0.000 0.500
I1 0.000 0.000 0.242
I2 0.243 0.243 0.000

formation energy without anion corrections: -0.234 eV/atom

=====

(3)
The following is a PBE calculation of crystalline CoBSbI2 at its relaxed geometry, from Alexandria via LeMat-Bulk.

Cell: 4.964 4.964 4.928 Å, 90.00 90.00 90.00°
Space group P4/mmm (No. 123)
Asymmetric unit:
Co1 0.000 0.000 0.000
B1 0.500 0.500 0.500
Sb1 0.500 0.500 0.000
I1 0.000 0.500 0.500

formation energy without anion corrections: 1.302 eV/atom
polymorph energy (0 for the lowest one): 97.3 meV/atom

=====

(4)
The following is a PBE calculation of crystalline CoBSbI2 at its relaxed geometry, from Alexandria via LeMat-Bulk.

Cell: 6.167 6.167 4.832 Å, 90.00 90.00 90.00°
Space group P4/mmm (No. 123)
Asymmetric unit:
Co1 0.000 0.000 0.000
B1 0.500 0.500 0.000
Sb1 0.000 0.000 0.500
I1 0.000 0.500 0.500

formation energy without anion corrections: 1.445 eV/atom
polymorph energy (0 for the lowest one): 239.8 meV/atom

=====

(5)
The following is a PBE calculation of crystalline CoBSbI2 at its relaxed geometry, from Alexandria via LeMat-Bulk.

Cell: 5.423 5.423 4.718 Å, 90.00 90.00 90.00°
Space group P4/mmm (No. 123)
Asymmetric unit:
Co1 0.000 0.000 0.000
B1 0.500 0.500 0.500
Sb1 0.000 0.000 0.500
I1 0.000 0.500 0.000

formation energy without anion corrections: 1.205 eV/atom
polymorph energy (0 for the lowest one): 0.0 meV/atom

=====

(6)
The following is a PBE calculation of crystalline Sr2CoBI at its relaxed geometry, from Alexandria via LeMat-Bulk.

Cell: 6.165 6.165 4.503 Å, 90.00 90.00 90.00°
Space group P4/mmm (No. 123)
Asymmetric unit:
Sr1 0.000 0.500 0.000
Co1 0.000 0.000 0.500
B1 0.500 0.500 0.500
I1 0.500 0.500 0.000

formation energy without anion corrections: 1.126 eV/atom

=====

(7)
The following is a PBE calculation of crystalline Co2TcBI at its relaxed geometry, from Alexandria via LeMat-Bulk.

Cell: 3.862 3.862 4.792 Å, 90.00 90.00 90.00°
Space group P4/mmm (No. 123)
Asymmetric unit:
Co1 0.000 0.500 0.000
Tc1 0.000 0.000 0.500
B1 0.500 0.500 0.000
I1 0.500 0.500 0.500

formation energy without anion corrections: 1.103 eV/atom

=====

(8)
The following is a PBE calculation of crystalline CoBTe2I at its relaxed geometry, from Alexandria via LeMat-Bulk.

Cell: 4.865 4.865 4.923 Å, 90.00 90.00 90.00°
Space group P4/mmm (No. 123)
Asymmetric unit:
Co1 0.000 0.000 0.000
B1 0.500 0.500 0.500
Te1 0.000 0.500 0.500
I1 0.500 0.500 0.000

formation energy without anion corrections: 1.185 eV/atom
polymorph energy (0 for the lowest one): 0.0 meV/atom

=====

(9)
The following is a PBE calculation of crystalline CoBTeI2 at its relaxed geometry, from Alexandria via LeMat-Bulk.

Cell: 4.999 4.999 4.993 Å, 90.00 90.00 90.00°
Space group P4/mmm (No. 123)
Asymmetric unit:
Co1 0.000 0.000 0.000
B1 0.500 0.500 0.500
Te1 0.500 0.500 0.000
I1 0.000 0.500 0.500

formation energy without anion corrections: 1.227 eV/atom
polymorph energy (0 for the lowest one): 55.9 meV/atom

=====

(10)
The following is a PBE calculation of crystalline CoBTeI2 at its relaxed geometry, from Alexandria via LeMat-Bulk.

Cell: 5.409 5.409 4.806 Å, 90.00 90.00 90.00°
Space group P4/mmm (No. 123)
Asymmetric unit:
Co1 0.000 0.000 0.000
B1 0.500 0.500 0.500
Te1 0.000 0.000 0.500
I1 0.000 0.500 0.000

formation energy without anion corrections: 1.171 eV/atom
polymorph energy (0 for the lowest one): 0.0 meV/atom

=====

(11)
The following is a PBE calculation of crystalline CoBTe2I at its relaxed geometry, from Alexandria via LeMat-Bulk.

Cell: 4.937 4.937 5.528 Å, 90.00 90.00 90.00°
Space group P4/mmm (No. 123)
Asymmetric unit:
Co1 0.000 0.000 0.000
B1 0.500 0.500 0.500
Te1 0.000 0.500 0.000
I1 0.000 0.000 0.500

formation energy without anion corrections: 1.201 eV/atom
polymorph energy (0 for the lowest one): 16.6 meV/atom

=====

(12)
The following is a PBE calculation of crystalline In3Co20B6 at its relaxed geometry, from Alexandria via LeMat-Bulk.

Cell: 10.660 10.660 10.660 Å, 90.00 90.00 90.00°
Space group Fm-3m (No. 225)
Asymmetric unit:
In1 0.000 0.000 0.000
In2 0.250 0.250 0.250
Co1 0.000 0.172 0.172
Co2 0.113 0.113 0.387
B1 0.000 0.000 0.277

calculated formation energy: -0.110 eV/atom

=====

Number 1: raw total energy -4.19 eV/atom. Number 2: raw total energy -2.74 eV/atom. Number 3: raw total energy -2.90 eV/atom. Number 4: raw total energy -2.76 eV/atom. Number 5: raw total energy -3.00 eV/atom. Number 6: raw total energy -2.61 eV/atom. Number 7: raw total energy -5.46 eV/atom. Number 8: raw total energy -3.14 eV/atom. Number 9: raw total energy -2.78 eV/atom. Number 10: raw total energy -2.83 eV/atom. Number 11: raw total energy -3.12 eV/atom. Number 12: raw total energy -6.68 eV/atom.